# Rb2TbTe6 PBE optimized geometry
# crystal system: monoclinic
# energy relative to the elements, uncorrected: -679.6 meV/atom
# total energy: -3.504 eV per atom
# space group: C2/m
data_Rb2TbTe6
_cell_length_a 9.466
_cell_length_b 9.466
_cell_length_c 5.115
_cell_angle_alpha 98.19
_cell_angle_beta 98.19
_cell_angle_gamma 57.65
_space_group_name_H-M_alt 'P 1'
_space_group_IT_number 1
_space_group_name_Hall 'P 1'
loop_
_atom_site_label
_atom_site_type_symbol
_atom_site_fract_x
_atom_site_fract_y
_atom_site_fract_z
Rb1 Rb 0.169 0.169 0.411
Rb2 Rb 0.831 0.831 0.589
Tb1 Tb 0.500 0.500 0.000
Te1 Te 0.166 0.517 0.118
Te2 Te 0.291 0.709 0.500
Te3 Te 0.483 0.834 0.882
Te4 Te 0.517 0.166 0.118
Te5 Te 0.709 0.291 0.500
Te6 Te 0.834 0.483 0.882